Material: Fe3O4F2
Method: DFT, GGA+U
State: optimized geometry

Cell and atoms, written as POSCAR:
```
Fe3O4F2
1.0
4.656 0.000 0.000
0.000 4.641 0.000
-4.584 0.000 9.194
Fe O F
6 8 4
Direct
0.000 0.000 0.000
0.000 0.500 0.500
0.309 0.020 0.342
0.309 0.480 0.842
0.691 0.520 0.158
0.691 0.980 0.658
0.019 0.170 0.835
0.019 0.330 0.335
0.302 0.701 0.003
0.302 0.799 0.503
0.698 0.201 0.497
0.698 0.299 0.997
0.981 0.670 0.665
0.981 0.830 0.165
0.371 0.216 0.171
0.371 0.284 0.671
0.629 0.716 0.329
0.629 0.784 0.829
```

Results
- theoretical density (Mg/m³) = 4.5
- volume (Å³ per cell) = 198.65
- E above lowest polymorph (meV/atom) = 32